First-principles (PBE-GGA) data for a relaxed Co2ReAs crystal, as listed in Alexandria.

a = 4.545 Å, b = 4.545 Å, c = 4.545 Å
α = 132.40°, β = 132.40°, γ = 69.59°
Atoms (fractional coordinates):
As (0.750, 0.250, 0.500)
Co (0.000, 0.000, 0.000)
Co (0.500, 0.500, 0.000)
Re (0.250, 0.750, 0.500)

## Properties
D(E_F) in states/eV/cell: 3.29
SG: I4/mmm
DFT formation energy in kJ/mol of formula units: 96
Uncorrected energy in eV per atom: -7.578
Total magnetic moment in μB per formula unit: 0.00


First-principles (PBE-GGA) data for a relaxed Co2ReAs crystal, as listed in Alexandria.

a = 4.373 Å, b = 4.509 Å, c = 5.299 Å
α = 92.13°, β = 100.46°, γ = 91.07°
Last column: magnetic moment on the atom in μB.
Atoms (fractional coordinates):
Re (0.639, 0.647, 0.768)  -0.01
Re (0.711, 0.151, 0.067)  -0.02
As (0.178, 0.371, 0.867)  0.00
As (0.229, 0.876, 0.471)  -0.01
Co (0.803, 0.159, 0.546)  0.12
Co (0.744, 0.655, 0.279)  0.23
Co (0.270, 0.350, 0.325)  0.20
Co (0.198, 0.863, 0.031)  -0.03

## Properties
D(E_F) in states/eV/cell: 7.91
SG: P1
DFT formation energy in kJ/mol of formula units: 16
Uncorrected energy in eV per atom: -7.786
Total magnetic moment in μB per formula unit: 0.23


First-principles (PBE-GGA) data for a relaxed Co2ReAs crystal, as listed in Alexandria.

a = 4.262 Å, b = 4.717 Å, c = 5.382 Å
α = 105.18°, β = 93.24°, γ = 91.60°
Last column: magnetic moment on the atom in μB.
Atoms (fractional coordinates):
Re (0.852, 0.028, 0.528)  -0.02
Re (0.326, 0.920, 0.250)  -0.06
As (0.284, 0.325, 0.924)  -0.01
As (0.611, 0.498, 0.487)  -0.01
Co (0.098, 0.463, 0.333)  0.04
Co (0.783, 0.539, 0.917)  0.46
Co (0.306, 0.820, 0.768)  0.14
Co (0.811, 0.053, 0.021)  0.87

## Properties
D(E_F) in states/eV/cell: 7.10
SG: P1
DFT formation energy in kJ/mol of formula units: 46
Uncorrected energy in eV per atom: -7.708
Total magnetic moment in μB per formula unit: 0.69